(1)
Material: UFe3I12
Method: DFT, PBE-GGA
State: relaxed

a b c (Å): 14.655 14.655 8.219
angles (deg): 90.00 90.00 120.00
Fractional positions:
1 U 0.333 0.667 0.250
2 U 0.667 0.333 0.750
3 Fe 0.115 0.420 0.750
4 Fe 0.306 0.885 0.750
5 Fe 0.420 0.306 0.250
6 Fe 0.580 0.694 0.750
7 Fe 0.694 0.115 0.250
8 Fe 0.885 0.580 0.250
9 I 0.003 0.501 0.250
10 I 0.023 0.224 0.750
11 I 0.201 0.977 0.750
12 I 0.224 0.201 0.250
13 I 0.238 0.759 0.009
14 I 0.238 0.759 0.491
15 I 0.241 0.479 0.009
16 I 0.241 0.479 0.491
17 I 0.479 0.238 0.509
18 I 0.479 0.238 0.991
19 I 0.498 0.997 0.250
20 I 0.499 0.502 0.250
21 I 0.501 0.498 0.750
22 I 0.502 0.003 0.750
23 I 0.521 0.762 0.009
24 I 0.521 0.762 0.491
25 I 0.759 0.521 0.509
26 I 0.759 0.521 0.991
27 I 0.762 0.241 0.509
28 I 0.762 0.241 0.991
29 I 0.776 0.799 0.750
30 I 0.799 0.023 0.250
31 I 0.977 0.776 0.250
32 I 0.997 0.499 0.750

Calculated values
As for the magnetization: 0.75 μB/atom. The value obtained for the density of states at the Fermi level is 23.5 states/eV per cell. The calculation puts the total energy at -3.730 eV per atom.

(2)
Material: Si2HgRu
Method: DFT, PBE-GGA
State: relaxed

a b c (Å): 3.120 4.247 4.937
angles (deg): 90.00 90.00 90.00
Fractional positions:
1 Si 0.000 0.000 0.000
2 Si 0.500 0.000 0.500
3 Hg 0.000 0.500 0.500
4 Ru 0.500 0.500 0.000

Calculated values
As for the magnetization: 0.00 μB/atom. The value obtained for the density of states at the Fermi level is 2.6 states/eV per cell. The calculation puts the total energy at -4.555 eV per atom.

(3)
Material: Rb2HfCu
Method: DFT, PBE-GGA
State: relaxed

a b c (Å): 6.079 6.079 6.079
angles (deg): 60.00 60.00 60.00
Fractional positions:
1 Rb 0.250 0.250 0.250
2 Rb 0.750 0.750 0.750
3 Hf 0.000 0.000 0.000
4 Cu 0.500 0.500 0.500

Calculated values
As for the magnetization: 0.72 μB/atom. The value obtained for the density of states at the Fermi level is 1.8 states/eV per cell. The calculation puts the total energy at -2.518 eV per atom.

(4)
Material: CaTl15Cd4
Method: DFT, PBE-GGA
State: relaxed

a b c (Å): 4.890 4.890 24.166
angles (deg): 90.00 90.00 90.00
Fractional positions:
1 Ca 0.000 0.000 0.000
2 Tl 0.000 0.500 0.102
3 Tl 0.000 0.500 0.299
4 Tl 0.000 0.500 0.500
5 Tl 0.000 0.500 0.701
6 Tl 0.000 0.500 0.898
7 Tl 0.500 0.000 0.102
8 Tl 0.500 0.000 0.299
9 Tl 0.500 0.000 0.500
10 Tl 0.500 0.000 0.701
11 Tl 0.500 0.000 0.898
12 Tl 0.500 0.500 0.000
13 Tl 0.500 0.500 0.201
14 Tl 0.500 0.500 0.400
15 Tl 0.500 0.500 0.600
16 Tl 0.500 0.500 0.799
17 Cd 0.000 0.000 0.197
18 Cd 0.000 0.000 0.400
19 Cd 0.000 0.000 0.600
20 Cd 0.000 0.000 0.803

Calculated values
As for the magnetization: 0.00 μB/atom. The value obtained for the density of states at the Fermi level is 6.4 states/eV per cell. The calculation puts the total energy at -2.065 eV per atom.

(5)
Material: ScNbMoIr
Method: DFT, PBE-GGA
State: relaxed

a b c (Å): 4.561 4.561 4.561
angles (deg): 60.00 60.00 60.00
Fractional positions:
1 Sc 0.000 0.000 0.000
2 Nb 0.500 0.500 0.500
3 Mo 0.250 0.250 0.250
4 Ir 0.750 0.750 0.750

Calculated values
As for the magnetization: 0.00 μB/atom. The value obtained for the density of states at the Fermi level is 3.5 states/eV per cell. The calculation puts the total energy at -9.424 eV per atom.

(6)
Material: SmErAlTc
Method: DFT, PBE-GGA
State: relaxed

a b c (Å): 5.005 5.005 5.005
angles (deg): 60.00 60.00 60.00
Fractional positions:
1 Sm 0.000 0.000 0.000
2 Er 0.500 0.500 0.500
3 Al 0.250 0.250 0.250
4 Tc 0.750 0.750 0.750

Calculated values
As for the magnetization: 0.00 μB/atom. The value obtained for the density of states at the Fermi level is 3.9 states/eV per cell. The calculation puts the total energy at -5.956 eV per atom.